Material: KTcAgTeSe2
Method: DFT, PBE
State: optimized geometry

total energy	-4.358	eV/atom

a b c (Å): 8.180 8.180 10.536
angles (deg): 90.00 90.00 153.15
Site moments in Bohr magnetons follow the coordinates.
Fractional coordinates of all 12 atoms:
Ag 0.447 0.553 0.250  0.06
Ag 0.553 0.447 0.750  0.06
K 0.766 0.234 0.250  0.00
K 0.234 0.766 0.750  0.00
Se 0.387 0.613 0.025  0.06
Se 0.387 0.613 0.475  0.06
Se 0.613 0.387 0.525  0.06
Se 0.613 0.387 0.975  0.06
Tc 0.000 0.000 0.000  1.88
Tc 0.000 0.000 0.500  1.89
Te 0.075 0.925 0.250  -0.02
Te 0.925 0.075 0.750  -0.02